1.
The following is a PBE calculation of MnFeHg2 after structural relaxation, from Alexandria via LeMat-Bulk.

POSCAR file:
```
MnFeHg2
1.0
4.915 0.017 -0.004
1.308 4.738 0.004
-3.112 -2.377 2.971
Hg Fe Mn
2 1 1
Direct
0.500 0.500 0.000
0.000 0.000 0.000
0.250 0.750 0.500
0.750 0.250 0.500
```

- DFT formation energy: 0.416 eV per atom
- Space-group type: No. 139
- Calculated total energy: -16.57 eV/cell
- Energy relative to the lowest polymorph listed for this composition: 54 meV per atom
- Theoretical density: 12.30 Mg/m³



2.
The following is a PBE calculation of Sm6Dy3Ho after structural relaxation, from Alexandria via LeMat-Bulk.

POSCAR file:
```
Sm6Dy3Ho
1.0
6.291 0.000 0.000
0.000 10.935 -1.683
0.000 -4.081 10.284
Sm Ho Dy
12 2 6
Direct
0.362 0.526 0.946
0.546 0.289 0.376
0.398 0.960 0.040
0.646 0.278 0.722
0.546 0.624 0.711
0.898 0.040 0.960
0.146 0.722 0.278
0.362 0.054 0.474
0.862 0.474 0.054
0.046 0.376 0.289
0.046 0.711 0.624
0.862 0.946 0.526
0.121 0.199 0.801
0.621 0.801 0.199
0.464 0.944 0.718
0.576 0.614 0.386
0.076 0.386 0.614
0.964 0.718 0.944
0.964 0.056 0.282
0.464 0.282 0.056
```

- DFT formation energy: 0.146 eV per atom
- Space-group type: No. 36
- Calculated total energy: -90.48 eV/cell
- Energy relative to the lowest polymorph listed for this composition: 20 meV per atom
- Theoretical density: 7.77 Mg/m³



3.
The following is a PBE calculation of LiAg2Rh2 after structural relaxation, from Alexandria via LeMat-Bulk.

POSCAR file:
```
LiAg2Rh2
1.0
-1.927 -1.303 7.649
-1.499 -7.671 -1.685
2.622 -0.634 0.553
Ag Rh Li
4 4 2
Direct
0.683 0.817 0.500
0.817 0.317 0.500
0.183 0.683 0.500
0.317 0.183 0.500
0.613 0.113 0.000
0.387 0.887 0.000
0.887 0.613 0.000
0.113 0.387 0.000
0.000 0.000 0.000
0.500 0.500 0.000
```

- DFT formation energy: 0.269 eV per atom
- Space-group type: No. 127
- Calculated total energy: -41.94 eV/cell
- Energy relative to the lowest polymorph listed for this composition: 0 meV per atom
- Theoretical density: 8.08 Mg/m³



4.
The following is a PBE calculation of RbZrNi3 after structural relaxation, from Alexandria via LeMat-Bulk.

POSCAR file:
```
RbZrNi3
1.0
4.917 0.000 0.000
0.000 4.917 0.000
0.000 0.000 4.917
Rb Zr Ni
1 1 3
Direct
0.500 0.500 0.500
0.000 0.000 0.000
0.500 0.000 0.000
0.000 0.500 0.000
0.000 0.000 0.500
```

- DFT formation energy: 0.959 eV per atom
- Space-group type: No. 221
- Calculated total energy: -22.06 eV/cell
- Energy relative to the lowest polymorph listed for this composition: 0 meV per atom
- Theoretical density: 4.93 Mg/m³



5.
The following is a PBE calculation of NaZnCuPt after structural relaxation, from Alexandria via LeMat-Bulk.

POSCAR file:
```
NaZnCuPt
1.0
4.438 0.000 0.000
2.219 3.843 0.000
2.219 1.281 3.624
Zn Cu Pt Na
1 1 1 1
Direct
0.500 0.500 0.500
0.000 0.000 0.000
0.750 0.750 0.750
0.250 0.250 0.250
```

- DFT formation energy: -0.136 eV per atom
- Space-group type: No. 216
- Calculated total energy: -13.28 eV/cell
- Theoretical density: 9.32 Mg/m³



6.
The following is a PBE calculation of NiMo2Br after structural relaxation, from Alexandria via LeMat-Bulk.

POSCAR file:
```
NiMo2Br
1.0
3.038 0.000 0.000
0.000 4.432 0.000
0.000 0.000 4.667
Mo Br Ni
2 1 1
Direct
0.000 0.000 0.000
0.500 0.500 0.000
0.000 0.500 0.500
0.500 0.000 0.500
```

- Space-group type: No. 47
- Calculated total energy: -25.79 eV/cell
- Energy relative to the lowest polymorph listed for this composition: 477 meV per atom
- Theoretical density: 8.73 Mg/m³



7.
The following is a PBE calculation of LaBI2O after structural relaxation, from Alexandria via LeMat-Bulk.

POSCAR file:
```
LaBI2O
1.0
-5.827 -0.301 -0.540
-0.292 -3.169 4.920
-0.316 2.851 1.818
La I O B
1 2 1 1
Direct
0.500 0.500 0.500
0.000 0.500 0.000
0.500 0.000 0.000
0.000 0.000 0.500
0.000 0.000 0.000
```

- Space-group type: No. 123
- Calculated total energy: -21.10 eV/cell
- Energy relative to the lowest polymorph listed for this composition: 79 meV per atom
- Theoretical density: 5.97 Mg/m³



8.
The following is a PBE calculation of Ac5NdPd4 after structural relaxation, from Alexandria via LeMat-Bulk.

POSCAR file:
```
Ac5NdPd4
1.0
-0.407 3.928 -1.904
-8.303 -1.624 -1.577
-4.343 1.293 8.644
Pd Ac Nd
4 5 1
Direct
0.333 0.095 0.667
0.667 0.905 0.333
0.000 0.752 0.000
0.000 0.248 0.000
0.836 0.336 0.673
0.500 0.500 0.000
0.833 0.847 0.667
0.167 0.153 0.333
0.164 0.664 0.327
0.500 0.000 0.000
```

- DFT formation energy: -0.581 eV per atom
- Space-group type: No. 12
- Calculated total energy: -51.89 eV/cell
- Theoretical density: 8.15 Mg/m³



9.
The following is a PBE calculation of Sm5YIn2 after structural relaxation, from Alexandria via LeMat-Bulk.

POSCAR file:
```
Sm5YIn2
1.0
4.906 0.000 0.000
0.000 6.975 0.000
0.000 0.000 13.948
Sm In Y
10 4 2
Direct
0.500 0.747 0.625
0.000 0.000 0.000
0.000 0.500 0.500
0.000 0.004 0.250
0.000 0.496 0.750
0.500 0.247 0.875
0.500 0.753 0.125
0.500 0.253 0.375
0.000 0.996 0.750
0.000 0.504 0.250
0.500 0.255 0.123
0.500 0.745 0.877
0.500 0.755 0.377
0.500 0.245 0.623
0.000 0.000 0.500
0.000 0.500 0.000
```

- DFT formation energy: -0.274 eV per atom
- Space-group type: No. 55
- Calculated total energy: -75.46 eV/cell
- Energy relative to the lowest polymorph listed for this composition: 0 meV per atom
- Theoretical density: 7.45 Mg/m³



10.
The following is a PBE calculation of CsUTlBr6 after structural relaxation, from Alexandria via LeMat-Bulk.

POSCAR file:
```
CsUTlBr6
1.0
-6.917 -0.487 4.410
1.392 -5.366 -6.065
6.674 -8.980 9.477
Br U Tl Cs
12 2 2 2
Direct
0.050 0.396 0.639
0.604 0.950 0.861
0.345 0.396 0.861
0.396 0.050 0.139
0.655 0.050 0.361
0.345 0.950 0.639
0.950 0.604 0.361
0.950 0.345 0.139
0.396 0.345 0.361
0.604 0.655 0.639
0.655 0.604 0.139
0.050 0.655 0.861
0.667 0.333 0.250
0.333 0.667 0.750
0.333 0.667 0.250
0.667 0.333 0.750
0.000 0.000 0.500
0.000 0.000 0.000
```

- Space-group type: No. 163
- Calculated total energy: -73.69 eV/cell
- Theoretical density: 4.09 Mg/m³



11.
The following is a PBE calculation of Pm5Mg4Pd after structural relaxation, from Alexandria via LeMat-Bulk.

POSCAR file:
```
Pm5Mg4Pd
1.0
3.803 0.000 0.000
0.000 3.803 0.000
0.000 0.000 19.051
Mg Pm Pd
4 5 1
Direct
0.000 0.000 0.396
0.000 0.000 0.807
0.000 0.000 0.193
0.000 0.000 0.604
0.500 0.500 0.706
0.500 0.500 0.294
0.500 0.500 0.913
0.500 0.500 0.087
0.500 0.500 0.500
0.000 0.000 0.000
```

- DFT formation energy: -0.236 eV per atom
- Space-group type: No. 123
- Calculated total energy: -37.69 eV/cell
- Theoretical density: 5.60 Mg/m³



12.
The following is a PBE calculation of Ac2NbZnO6 after structural relaxation, from Alexandria via LeMat-Bulk.

POSCAR file:
```
Ac2NbZnO6
1.0
-1.119 1.365 5.442
-2.427 -5.338 0.840
7.281 -2.958 2.239
Ac O Nb Zn
4 12 2 2
Direct
0.000 0.226 0.746
0.500 0.774 0.246
0.000 0.226 0.254
0.500 0.774 0.754
0.740 0.513 0.000
0.260 0.513 0.000
0.753 0.993 0.500
0.500 0.221 0.248
0.500 0.221 0.752
0.000 0.779 0.252
0.760 0.487 0.500
0.253 0.007 0.000
0.247 0.993 0.500
0.000 0.779 0.748
0.240 0.487 0.500
0.747 0.007 0.000
0.000 0.738 0.500
0.500 0.262 0.000
0.000 0.749 0.000
0.500 0.251 0.500
```

- Space-group type: No. 59
- Calculated total energy: -151.03 eV/cell
- Theoretical density: 8.49 Mg/m³